No. 1
VASP calculation (PBE) on a geometry-optimized TaCd2Si structure.

The structure in POSCAR format:
```
TaCd2Si
1.0
9.6590 0.0039 0.0023
9.1804 3.0027 0.0023
9.1804 1.4651 2.6210
Cd Si Ta
2 1 1
direct
0.0026 0.0026 0.0026
0.2455 0.2455 0.2455
0.4952 0.4952 0.4952
0.7567 0.7567 0.7567
```

Calculated values
theoretical density = 9.5 g/cm³
formation energy without anion corrections = 0.181 eV/atom
M_tot = 0.0 μB/f.u.
space-group type = R3m, No. 160

No. 2
VASP calculation (PBE) on a geometry-optimized RbTh4Se8 structure.

The structure in POSCAR format:
```
RbTh4Se8
1.0
-0.2049 -7.8885 -2.3229
0.4106 1.9264 7.9866
-18.1883 0.2121 0.8839
Rb Th Se
2 8 16
direct
0.0000 0.0000 0.0000
0.0000 0.0000 0.5000
0.5027 0.0054 0.2500
0.4973 0.5027 0.7500
0.0054 0.5027 0.7500
0.9946 0.4973 0.2500
0.5027 0.4973 0.2500
0.4973 0.9946 0.7500
0.0000 0.0000 0.2500
0.0000 0.0000 0.7500
0.1641 0.3282 0.8479
0.6718 0.8359 0.8479
0.1641 0.8359 0.8479
0.8359 0.1641 0.3479
0.3282 0.1641 0.1521
0.8359 0.6718 0.3479
0.3282 0.1641 0.3479
0.1641 0.3282 0.6521
0.1641 0.8359 0.6521
0.8359 0.1641 0.1521
0.6667 0.3333 0.6542
0.3333 0.6667 0.1542
0.3333 0.6667 0.3458
0.6667 0.3333 0.8458
0.6718 0.8359 0.6521
0.8359 0.6718 0.1521
```

Calculated values
theoretical density = 5.1 g/cm³
formation energy without anion corrections = -1.523 eV/atom
M_tot = 1.1 μB/f.u.
space-group type = P6_3/mmc, No. 194

No. 3
VASP calculation (PBE) on a geometry-optimized KCdSi2Bi structure.

The structure in POSCAR format:
```
KCdSi2Bi
1.0
5.2310 0.0000 0.0000
0.0000 5.8376 0.0000
0.0000 0.0000 5.2310
K Si Bi Cd
1 2 1 1
direct
0.5000 0.5000 0.5000
0.0000 0.0000 0.5000
0.5000 0.0000 0.0000
0.0000 0.5000 0.0000
0.0000 0.0000 0.0000
```

Calculated values
theoretical density = 4.3 g/cm³
formation energy without anion corrections = 0.710 eV/atom
M_tot = 0.0 μB/f.u.
space-group type = P4/mmm, No. 123

No. 4
VASP calculation (PBE) on a geometry-optimized Pm6Ge3AsS2 structure.

The structure in POSCAR format:
```
Pm6Ge3AsS2
1.0
4.1533 0.0000 0.0000
0.0000 8.4604 0.1952
-2.0766 -2.5491 8.8357
Pm Ge As S
6 3 1 2
direct
0.3331 0.9141 0.6662
0.6679 0.5801 0.3358
0.6669 0.0859 0.3338
0.0022 0.2491 0.0045
0.9978 0.7509 0.9955
0.3321 0.4199 0.6642
0.5000 0.5000 0.0000
0.8333 0.1692 0.6666
0.1667 0.8308 0.3334
0.5000 0.0000 0.0000
0.8323 0.6656 0.6646
0.1677 0.3344 0.3354
```

Calculated values
theoretical density = 6.5 g/cm³
formation energy without anion corrections = -1.342 eV/atom
M_tot = 0.0 μB/f.u.
space-group type = C2/m, No. 12

No. 5
VASP calculation (PBE) on a geometry-optimized PmHoMgHg structure.

The structure in POSCAR format:
```
PmHoMgHg
1.0
-2.8789 -0.3133 2.4420
-2.1570 -1.4903 -2.7342
2.3624 -6.9040 1.8994
Pm Ho Mg Hg
1 1 1 1
direct
0.0000 0.0000 0.8577
0.0000 0.0000 0.3516
0.5000 0.5000 0.5953
0.5000 0.5000 0.1234
```

Calculated values
theoretical density = 8.2 g/cm³
E_form = -0.280 eV per atom
energy relative to the lowest polymorph listed for this composition = 0.0000 eV/atom
M_tot = 0.0 μB/f.u.
space-group type = P4mm, No. 99

No. 6
VASP calculation (PBE) on a geometry-optimized Ta4Pb structure.

The structure in POSCAR format:
```
Ta4Pb
1.0
5.0189 0.0000 0.0000
0.0000 5.0189 0.0000
0.0000 0.0000 5.0189
Pb Ta
1 4
direct
0.5000 0.5000 0.5000
0.0000 0.0000 0.0000
0.5000 0.0000 0.5000
0.0000 0.5000 0.5000
0.5000 0.5000 0.0000
```

Calculated values
theoretical density = 12.2 g/cm³
E_form = 2.472 eV per atom
energy relative to the lowest polymorph listed for this composition = 2.2585 eV/atom
M_tot = 0.0 μB/f.u.
space-group type = Pm-3m, No. 221

No. 7
VASP calculation (PBE) on a geometry-optimized Mg3BrO structure.

The structure in POSCAR format:
```
Mg3BrO
1.0
-1.7291 3.2805 -3.6978
-4.2101 -3.0303 -0.7196
-2.5905 2.7352 3.6378
Mg O Br
3 1 1
direct
0.0000 0.5000 0.0000
0.0000 0.0000 0.5000
0.5000 0.0000 0.0000
0.5000 0.5000 0.5000
0.0000 0.0000 0.0000
```

Calculated values
theoretical density = 2.0 g/cm³
energy relative to the lowest polymorph listed for this composition = 1.4038 eV/atom
formation energy without anion corrections = 0.656 eV/atom
M_tot = 0.0 μB/f.u.
space-group type = Pm-3m, No. 221

No. 8
VASP calculation (PBE) on a geometry-optimized LiAc3Pb2O structure.

The structure in POSCAR format:
```
LiAc3Pb2O
1.0
-2.0594 3.6633 -2.3131
0.3839 -2.5156 -4.3258
-7.2209 -4.2178 4.7233
Li Ac Pb O
1 3 2 1
direct
0.5000 0.0000 0.0000
0.0000 0.5000 0.0000
0.1637 0.1637 0.3274
0.8363 0.8363 0.6726
0.6408 0.6408 0.2816
0.3592 0.3592 0.7184
0.0000 0.0000 0.0000
```

Calculated values
theoretical density = 8.6 g/cm³
formation energy without anion corrections = -1.123 eV/atom
M_tot = 0.0 μB/f.u.
space-group type = Immm, No. 71

No. 9
VASP calculation (PBE) on a geometry-optimized NpSO5 structure.

The structure in POSCAR format:
```
NpSO5
1.0
-2.4451 -0.2196 -3.7982
-0.2272 -5.1183 0.4419
-2.1538 3.0709 4.4989
Np S O
1 1 5
direct
0.0320 0.0114 0.0227
0.5402 0.4352 0.8703
0.2878 0.2711 0.5423
0.9088 0.4725 0.9449
0.7586 0.8068 0.6141
0.5015 0.2578 0.0027
0.5017 0.7452 0.0030
```

Calculated values
theoretical density = 5.6 g/cm³
formation energy without anion corrections = -1.918 eV/atom
M_tot = 3.0 μB/f.u.
space-group type = Cm, No. 8

No. 10
VASP calculation (PBE) on a geometry-optimized Si2TeRu2 structure.

The structure in POSCAR format:
```
Si2TeRu2
1.0
7.3595 0.0000 0.0000
0.0000 7.3595 0.0000
0.0000 0.0000 2.8979
Ru Si Te
4 4 2
direct
0.1477 0.6477 0.5000
0.6477 0.8523 0.5000
0.8523 0.3523 0.5000
0.3523 0.1477 0.5000
0.3667 0.8667 0.0000
0.8667 0.6333 0.0000
0.6333 0.1333 0.0000
0.1333 0.3667 0.0000
0.0000 0.0000 0.0000
0.5000 0.5000 0.0000
```

Calculated values
theoretical density = 8.2 g/cm³
energy relative to the lowest polymorph listed for this composition = 0.2626 eV/atom
formation energy without anion corrections = 0.067 eV/atom
M_tot = 0.0 μB/f.u.
space-group type = P4/mbm, No. 127

No. 11
VASP calculation (PBE) on a geometry-optimized Tb3CdCo structure.

The structure in POSCAR format:
```
Tb3CdCo
1.0
5.2716 -0.3133 2.4663
1.6491 5.0168 2.4663
0.1134 0.0771 9.3353
Tb Cd Co
6 2 2
direct
0.2982 0.2982 0.9031
0.7018 0.7018 0.0969
0.0778 0.0778 0.7276
0.9222 0.9222 0.2724
0.6946 0.6946 0.7282
0.3054 0.3054 0.2718
0.7114 0.2886 0.5000
0.2886 0.7114 0.5000
0.2498 0.7502 0.0000
0.7502 0.2498 0.0000
```

Calculated values
theoretical density = 8.6 g/cm³
E_form = -0.194 eV per atom
energy relative to the lowest polymorph listed for this composition = 0.0000 eV/atom
M_tot = 0.1 μB/f.u.
space-group type = Fmmm, No. 69

No. 12
VASP calculation (PBE) on a geometry-optimized Sn2SbS structure.

The structure in POSCAR format:
```
Sn2SbS
1.0
5.9080 0.0000 0.0000
0.0000 5.9080 0.0000
2.9540 2.9540 7.7522
Sb S Sn
2 2 4
direct
0.0000 0.0000 0.0000
0.7500 0.2500 0.5000
0.5000 0.5000 0.0000
0.2500 0.7500 0.5000
0.5783 0.1250 0.2500
0.1717 0.6250 0.2500
0.3750 0.4217 0.7500
0.8750 0.8283 0.7500
```

Calculated values
theoretical density = 4.8 g/cm³
energy relative to the lowest polymorph listed for this composition = 0.1392 eV/atom
formation energy without anion corrections = 0.033 eV/atom
M_tot = 0.0 μB/f.u.
space-group type = I-42d, No. 122

No. 13
VASP calculation (PBE) on a geometry-optimized H4SF2 structure.

The structure in POSCAR format:
```
H4SF2
1.0
4.6264 -1.1012 -0.7072
0.9678 4.5699 -0.4023
0.9814 -0.3449 4.5343
H S F
4 1 2
direct
0.2618 0.8942 0.0846
0.6330 0.3984 0.6413
0.9388 0.8259 0.8489
0.8077 0.1252 0.2585
0.0878 0.0567 0.9572
0.6391 0.1492 0.4064
0.6319 0.5505 0.8031
```

Calculated values
theoretical density = 1.2 g/cm³
calculated total energy = -4.021 eV/atom
M_tot = 0.0 μB/f.u.
space-group type = P1, No. 1

No. 14
VASP calculation (PBE) on a geometry-optimized Pu2NpFe9 structure.

The structure in POSCAR format:
```
Pu2NpFe9
1.0
-2.2889 3.9790 -1.6539
-3.6378 1.9731 2.5845
3.6024 6.8971 4.4107
Pu Np Fe
2 1 9
direct
0.8591 0.8591 0.4227
0.1409 0.1409 0.5773
0.0000 0.0000 0.0000
0.6673 0.6673 0.9982
0.3327 0.3327 0.0018
0.5000 0.5000 0.5000
0.4184 0.4184 0.2458
0.9175 0.4184 0.2458
0.4184 0.9175 0.2458
0.5816 0.5816 0.7542
0.5816 0.0825 0.7542
0.0825 0.5816 0.7542
```

Calculated values
theoretical density = 11.6 g/cm³
E_form = -0.012 eV per atom
M_tot = 4.0 μB/f.u.
space-group type = R-3m, No. 166

No. 15
VASP calculation (PBE) on a geometry-optimized GeI2F structure.

The structure in POSCAR format:
```
GeI2F
1.0
-7.1866 -1.6633 -0.9283
1.6369 -3.5401 -6.3295
-2.2205 -6.1998 -1.4732
I Ge F
4 2 2
direct
0.6324 0.1250 0.2500
0.1176 0.6250 0.2500
0.3750 0.3676 0.7500
0.8750 0.8824 0.7500
0.0000 0.0000 0.0000
0.7500 0.2500 0.5000
0.5000 0.5000 0.0000
0.2500 0.7500 0.5000
```

Calculated values
theoretical density = 4.9 g/cm³
energy relative to the lowest polymorph listed for this composition = 0.0000 eV/atom
formation energy without anion corrections = -0.276 eV/atom
M_tot = 0.0 μB/f.u.
space-group type = I-42d, No. 122

No. 16
VASP calculation (PBE) on a geometry-optimized La7NdTm2 structure.

The structure in POSCAR format:
```
La7NdTm2
1.0
5.8723 0.0000 0.0000
0.0000 9.2365 -0.3302
0.0000 -4.4618 8.0942
La Nd Tm
7 1 2
direct
0.0000 0.7610 0.2390
0.0000 0.2390 0.7610
0.5000 0.0655 0.2994
0.5000 0.9345 0.7006
0.5000 0.2994 0.0655
0.5000 0.7006 0.9345
0.5000 0.5000 0.5000
0.0000 0.0000 0.0000
0.5000 0.7038 0.2962
0.5000 0.2962 0.7038
```

Calculated values
theoretical density = 5.6 g/cm³
E_form = 0.594 eV per atom
M_tot = 0.0 μB/f.u.
space-group type = Cmmm, No. 65

No. 17
VASP calculation (PBE) on a geometry-optimized AcPm7Y3 structure.

The structure in POSCAR format:
```
AcPm7Y3
1.0
8.7996 0.0000 0.0000
0.0000 7.2659 0.0000
0.0000 -3.6329 6.2924
Ac Pm Y
1 7 3
direct
0.4428 0.3333 0.6667
0.1097 0.1666 0.8334
0.1097 0.1666 0.3331
0.1225 0.6667 0.3333
0.4537 0.8325 0.1675
0.4537 0.3351 0.1675
0.4537 0.8325 0.6649
0.1097 0.6669 0.8334
0.7865 0.5015 0.4985
0.7865 0.5015 0.0031
0.7865 0.9969 0.4985
```

Calculated values
theoretical density = 6.2 g/cm³
E_form = 0.199 eV per atom
energy relative to the lowest polymorph listed for this composition = 0.0000 eV/atom
M_tot = 0.0 μB/f.u.
space-group type = P3m1, No. 156

No. 18
VASP calculation (PBE) on a geometry-optimized Tl5Re4 structure.

The structure in POSCAR format:
```
Tl5Re4
1.0
8.4611 0.0000 0.0000
-4.2306 7.3275 0.0000
0.0000 0.0000 5.6798
Re Tl
8 10
direct
0.0000 0.0000 0.0000
0.0000 0.0000 0.5000
0.6252 0.0000 0.2500
0.0000 0.6252 0.2500
0.3748 0.3748 0.2500
0.3748 0.0000 0.7500
0.0000 0.3748 0.7500
0.6252 0.6252 0.7500
0.2908 0.0000 0.2500
0.0000 0.2908 0.2500
0.7092 0.7092 0.2500
0.7092 0.0000 0.7500
0.0000 0.7092 0.7500
0.2908 0.2908 0.7500
0.3333 0.6667 0.0000
0.6667 0.3333 0.5000
0.6667 0.3333 0.0000
0.3333 0.6667 0.5000
```

Calculated values
theoretical density = 16.7 g/cm³
E_form = 1.435 eV per atom
energy relative to the lowest polymorph listed for this composition = 0.5878 eV/atom
M_tot = 2.5 μB/f.u.
space-group type = P6_3/mcm, No. 193

No. 19
VASP calculation (PBE) on a geometry-optimized CrCo2Bi structure.

The structure in POSCAR format:
```
CrCo2Bi
1.0
-1.4013 0.6796 -4.0163
1.4278 -3.8959 -1.1574
-6.5198 -4.5325 -0.8024
Cr Co Bi
2 4 2
direct
0.5000 0.5000 0.0000
0.2500 0.7500 0.5000
0.5126 0.1250 0.2500
0.2374 0.6250 0.2500
0.3750 0.4874 0.7500
0.8750 0.7626 0.7500
0.0000 0.0000 0.0000
0.7500 0.2500 0.5000
```

Calculated values
theoretical density = 9.2 g/cm³
E_form = 0.832 eV per atom
M_tot = 0.0 μB/f.u.
space-group type = I-42d, No. 122

No. 20
VASP calculation (PBE) on a geometry-optimized Rb6SBr3Cl2 structure.

The structure in POSCAR format:
```
Rb6SBr3Cl2
1.0
-1.1327 -5.5459 6.3819
7.0104 -0.4592 -4.8386
1.7213 6.8426 4.3513
Rb S Br Cl
6 1 3 2
direct
0.9204 0.5795 0.7619
0.7378 0.7378 0.2369
0.0796 0.4205 0.2381
0.5795 0.9204 0.7619
0.2622 0.2622 0.7631
0.4205 0.0796 0.2381
0.0000 0.0000 0.0000
0.1631 0.8369 0.5000
0.8369 0.1631 0.5000
0.5000 0.5000 0.5000
0.3329 0.6671 0.0000
0.6671 0.3329 0.0000
```

Calculated values
theoretical density = 2.9 g/cm³
formation energy without anion corrections = -1.573 eV/atom
M_tot = 1.0 μB/f.u.
space-group type = C2/m, No. 12

No. 21
VASP calculation (PBE) on a geometry-optimized Cs3LiCl4 structure.

The structure in POSCAR format:
```
Cs3LiCl4
1.0
6.9095 -0.0045 0.0000
-5.5425 4.1257 0.0000
0.0000 0.0000 10.1747
Cl Cs Li
4 3 1
direct
0.3942 0.6058 0.2810
0.3942 0.6058 0.7190
0.0672 0.9328 0.5000
0.1720 0.8280 0.0000
0.9093 0.0907 0.0000
0.6784 0.3216 0.7311
0.6784 0.3216 0.2689
0.4595 0.5405 0.5000
```

Calculated values
theoretical density = 3.1 g/cm³
energy relative to the lowest polymorph listed for this composition = 0.0353 eV/atom
formation energy without anion corrections = -1.877 eV/atom
M_tot = 0.1 μB/f.u.
space-group type = Amm2, No. 38

No. 22
VASP calculation (PBE) on a geometry-optimized Dy5Y3Co2 structure.

The structure in POSCAR format:
```
Dy5Y3Co2
1.0
-0.6430 -7.4479 -1.6793
1.8714 -5.8129 7.5851
-7.6208 -4.2564 4.3164
Dy Y Co
10 6 4
direct
0.2500 0.5000 0.5000
0.7500 0.5000 0.5000
0.5036 0.7464 0.7464
0.9964 0.2536 0.2536
0.4964 0.2536 0.2536
0.0036 0.7464 0.7464
0.1231 0.6187 0.1351
0.8769 0.3813 0.8649
0.6231 0.1351 0.6187
0.3769 0.8649 0.3813
0.2500 0.0000 0.0000
0.7500 0.0000 0.0000
0.3752 0.3811 0.8686
0.6248 0.6189 0.1314
0.8752 0.8686 0.3811
0.1248 0.1314 0.6189
0.1318 0.8651 0.8714
0.8682 0.1349 0.1286
0.6318 0.8714 0.8651
0.3682 0.1286 0.1349
```

Calculated values
theoretical density = 6.9 g/cm³
E_form = -0.027 eV per atom
M_tot = 0.0 μB/f.u.
space-group type = Ibam, No. 72

No. 23
VASP calculation (PBE) on a geometry-optimized KTaBr2 structure.

The structure in POSCAR format:
```
KTaBr2
1.0
4.2719 0.0000 0.0000
0.0000 3.3459 -0.0074
0.0000 0.0174 7.1920
Br K Ta
2 1 1
direct
0.0000 0.7502 0.9781
0.0000 0.7498 0.5219
0.5000 0.2500 0.2500
0.5000 0.7500 0.7500
```

Calculated values
theoretical density = 6.1 g/cm³
energy relative to the lowest polymorph listed for this composition = 0.0000 eV/atom
formation energy without anion corrections = -0.132 eV/atom
M_tot = 1.1 μB/f.u.
space-group type = Pmmm, No. 47